Entry from Alexandria: a geometry-optimized CaCr2Au structure (GGA-PBE).

Values from the calculation:
Distance to the lowest polymorph of the same formula, eV per atom: 0.286
Calculated density, Mg/m³: 7.3
Magnetic moment, μB/cell: 0.0
Energy, eV/atom: -5.71

Structure (CIF):
```
data_CaCr2Au
_chemical_formula_sum 'Ca2 Cr4 Au2'
_symmetry_space_group_name_H-M 'C 1 2/m 1'
_symmetry_Int_Tables_number 12
_symmetry_space_group_name_Hall '-C 2y'
_cell_length_a 9.9785
_cell_length_b 3.0955
_cell_length_c 5.1846
_cell_angle_alpha 90.00
_cell_angle_beta 103.72
_cell_angle_gamma 90.00
loop_
_atom_site_label
_atom_site_type_symbol
_atom_site_fract_x
_atom_site_fract_y
_atom_site_fract_z
Ca1 Ca 0.0000 0.0000 0.0000
Cr1 Cr 0.2291 0.0000 0.6261
Au1 Au 0.0000 0.5000 0.5000
```



Entry from Alexandria: a geometry-optimized Ba3InRe structure (GGA-PBE).

Values from the calculation:
Distance to the lowest polymorph of the same formula, eV per atom: 0.000
Calculated density, Mg/m³: 5.6
Magnetic moment, μB/cell: 0.0
Energy, eV/atom: -3.60

Structure (CIF):
```
data_Ba3InRe
_chemical_formula_sum 'Ba3 In1 Re1'
_symmetry_space_group_name_H-M 'P m -3 m'
_symmetry_Int_Tables_number 221
_symmetry_space_group_name_Hall '-P 4 2 3'
_cell_length_a 5.9667
_cell_length_b 5.9667
_cell_length_c 5.9667
_cell_angle_alpha 90.00
_cell_angle_beta 90.00
_cell_angle_gamma 90.00
loop_
_atom_site_label
_atom_site_type_symbol
_atom_site_fract_x
_atom_site_fract_y
_atom_site_fract_z
Ba1 Ba 0.0000 0.0000 0.5000
In1 In 0.5000 0.5000 0.5000
Re1 Re 0.0000 0.0000 0.0000
```